#A
# Mn2NO GGA+U optimized geometry
data_Mn2NO
_symmetry_space_group_name_H-M 'F m -3 m'
_symmetry_Int_Tables_number 225
_symmetry_space_group_name_Hall '-F 4 2 3'
_cell_length_a 5.536
_cell_length_b 5.536
_cell_length_c 5.536
_cell_angle_alpha 90.00
_cell_angle_beta 90.00
_cell_angle_gamma 90.00
loop_
_atom_site_label
_atom_site_fract_x
_atom_site_fract_y
_atom_site_fract_z
_atom_site_occupancy
Mn1 0.250 0.250 0.250 1
N1 0.000 0.000 0.000 1
O1 0.000 0.000 0.500 1
# DOS(E_F): 16.6 states/eV per cell
# V: 169.7 Å³/cell
# M_tot: 9.00 μB per formula unit

=====

#B
# Mn2NO GGA+U optimized geometry
data_Mn2NO
_symmetry_space_group_name_H-M 'I -4 2 d'
_symmetry_Int_Tables_number 122
_symmetry_space_group_name_Hall 'I -4 2bw'
_cell_length_a 4.472
_cell_length_b 4.472
_cell_length_c 9.219
_cell_angle_alpha 90.00
_cell_angle_beta 90.00
_cell_angle_gamma 90.00
loop_
_atom_site_label
_atom_site_fract_x
_atom_site_fract_y
_atom_site_fract_z
_atom_site_occupancy
Mn1 0.230 0.250 0.125 1
N1 0.000 0.000 0.000 1
O1 0.000 0.000 0.500 1
# DOS(E_F): 5.0 states/eV per cell
# V: 184.4 Å³/cell
# M_tot: 3.24 μB per formula unit

=====

What is the stability order? It is #A, #B, from most stable to least stable.

=====

#A
# MnNO GGA+U optimized geometry
data_MnNO
_symmetry_space_group_name_H-M 'P 4/n m m'
_symmetry_Int_Tables_number 129
_cell_length_a 3.022
_cell_length_b 3.022
_cell_length_c 8.536
_cell_angle_alpha 90.00
_cell_angle_beta 90.00
_cell_angle_gamma 90.00
loop_
_symmetry_equiv_pos_as_xyz
'x,y,z'
'-x,-y,-z'
'-y+1/2,x,z'
'y+1/2,-x,-z'
'-x+1/2,-y+1/2,z'
'x+1/2,y+1/2,-z'
'y,-x+1/2,z'
'-y,x+1/2,-z'
'x+1/2,-y,-z'
'-x+1/2,y,z'
'-y,-x,-z'
'y,x,z'
'-x,y+1/2,-z'
'x,-y+1/2,z'
'y+1/2,x+1/2,-z'
'-y+1/2,-x+1/2,z'
loop_
_atom_site_label
_atom_site_fract_x
_atom_site_fract_y
_atom_site_fract_z
_atom_site_occupancy
Mn1 0.250 0.250 0.146 1
N1 0.250 0.250 0.347 1
O1 0.250 0.250 0.892 1
# DOS(E_F): 0.6 states/eV per cell
# V: 78.0 Å³/cell
# M_tot: 2.00 μB per formula unit

=====

#B
# MnNO GGA+U optimized geometry
data_MnNO
_symmetry_space_group_name_H-M 'P 1 21/m 1'
_symmetry_Int_Tables_number 11
_symmetry_space_group_name_Hall '-P 2yb'
_cell_length_a 3.773
_cell_length_b 3.171
_cell_length_c 5.136
_cell_angle_alpha 90.00
_cell_angle_beta 106.44
_cell_angle_gamma 90.00
loop_
_atom_site_label
_atom_site_fract_x
_atom_site_fract_y
_atom_site_fract_z
_atom_site_occupancy
Mn1 0.187 0.250 0.283 1
N1 0.262 0.750 0.545 1
O1 0.248 0.750 0.061 1
# DOS(E_F): 1.6 states/eV per cell
# V: 58.9 Å³/cell
# M_tot: 2.00 μB per formula unit

=====

What is the stability order? It is #B, #A, from most stable to least stable.

=====

#A
# MnTe2NO GGA+U optimized geometry
data_MnTe2NO
_symmetry_space_group_name_H-M 'P 4/m m m'
_symmetry_Int_Tables_number 123
_symmetry_space_group_name_Hall '-P 4 2'
_cell_length_a 4.751
_cell_length_b 4.751
_cell_length_c 4.071
_cell_angle_alpha 90.00
_cell_angle_beta 90.00
_cell_angle_gamma 90.00
loop_
_atom_site_label
_atom_site_fract_x
_atom_site_fract_y
_atom_site_fract_z
_atom_site_occupancy
Mn1 0.000 0.000 0.000 1
Te1 0.000 0.500 0.500 1
N1 0.500 0.500 0.000 1
O1 0.500 0.500 0.500 1
# DOS(E_F): 3.1 states/eV per cell
# V: 91.9 Å³/cell
# M_tot: 3.32 μB per formula unit

=====

#B
# MnTe2NO GGA+U optimized geometry
data_MnTe2NO
_symmetry_space_group_name_H-M 'P 4/m m m'
_symmetry_Int_Tables_number 123
_symmetry_space_group_name_Hall '-P 4 2'
_cell_length_a 5.356
_cell_length_b 5.356
_cell_length_c 3.494
_cell_angle_alpha 90.00
_cell_angle_beta 90.00
_cell_angle_gamma 90.00
loop_
_atom_site_label
_atom_site_fract_x
_atom_site_fract_y
_atom_site_fract_z
_atom_site_occupancy
Mn1 0.000 0.000 0.000 1
Te1 0.000 0.500 0.000 1
N1 0.000 0.000 0.500 1
O1 0.500 0.500 0.500 1
# DOS(E_F): 3.7 states/eV per cell
# V: 100.2 Å³/cell
# M_tot: 1.10 μB per formula unit

=====

What is the stability order? It is #B, #A, from most stable to least stable.